Record 1
The following is a DFT calculation (PBE) of an optimized crystal structure of NiAg2GeOs.

Values from the calculation:
crystal system = tetragonal
magnetic moment = 0.0 Bohr magnetons per cell
ΔH_f (0 K) = 1.456 eV/atom

Cell and atoms, written as CIF:
```
data_NiAg2GeOs
_cell_length_a 5.099
_cell_length_b 5.099
_cell_length_c 4.413
_cell_angle_alpha 90.00
_cell_angle_beta 90.00
_cell_angle_gamma 90.00
_symmetry_space_group_name_H-M 'P 4/m m m'
_symmetry_Int_Tables_number 123
_symmetry_space_group_name_Hall '-P 4 2'
loop_
_atom_site_label
_atom_site_type_symbol
_atom_site_fract_x
_atom_site_fract_y
_atom_site_fract_z
Ni1 Ni 0.000 0.000 0.000
Ag1 Ag 0.000 0.500 0.500
Ge1 Ge 0.500 0.500 0.000
Os1 Os 0.000 0.000 0.500
```

***

Record 2
The following is a DFT calculation (PBE) of an optimized crystal structure of Pa2Ni4AgGe3.

Values from the calculation:
crystal system = tetragonal
magnetic moment = 0.0 Bohr magnetons per cell
ΔH_f (0 K) = -0.446 eV/atom

Cell and atoms, written as CIF:
```
data_Pa2Ni4AgGe3
_cell_length_a 3.970
_cell_length_b 3.970
_cell_length_c 10.402
_cell_angle_alpha 90.00
_cell_angle_beta 90.00
_cell_angle_gamma 90.00
_symmetry_space_group_name_H-M 'P -4 m 2'
_symmetry_Int_Tables_number 115
loop_
_symmetry_equiv_pos_as_xyz
'x,y,z'
'y,-x,-z'
'-x,-y,z'
'-y,x,-z'
'-x,y,z'
'-y,-x,-z'
'x,-y,z'
'y,x,-z'
loop_
_atom_site_label
_atom_site_type_symbol
_atom_site_fract_x
_atom_site_fract_y
_atom_site_fract_z
Pa1 Pa 0.000 0.500 0.245
Ni1 Ni 0.000 0.000 0.000
Ni2 Ni 0.000 0.500 0.656
Ni3 Ni 0.500 0.500 0.000
Ag1 Ag 0.000 0.000 0.500
Ge1 Ge 0.000 0.500 0.877
Ge2 Ge 0.500 0.500 0.500
```

***

Record 3
The following is a DFT calculation (PBE) of an optimized crystal structure of Pm2Ni3AgGe4.

Values from the calculation:
crystal system = tetragonal
magnetic moment = 0.0 Bohr magnetons per cell
ΔH_f (0 K) = -0.610 eV/atom

Cell and atoms, written as CIF:
```
data_Pm2Ni3AgGe4
_cell_length_a 4.207
_cell_length_b 4.207
_cell_length_c 9.926
_cell_angle_alpha 90.00
_cell_angle_beta 90.00
_cell_angle_gamma 90.00
_symmetry_space_group_name_H-M 'P -4 m 2'
_symmetry_Int_Tables_number 115
loop_
_symmetry_equiv_pos_as_xyz
'x,y,z'
'y,-x,-z'
'-x,-y,z'
'-y,x,-z'
'-x,y,z'
'-y,-x,-z'
'x,-y,z'
'y,x,-z'
loop_
_atom_site_label
_atom_site_type_symbol
_atom_site_fract_x
_atom_site_fract_y
_atom_site_fract_z
Pm1 Pm 0.000 0.500 0.242
Ni1 Ni 0.000 0.500 0.884
Ni2 Ni 0.500 0.500 0.500
Ag1 Ag 0.000 0.000 0.500
Ge1 Ge 0.000 0.000 0.000
Ge2 Ge 0.000 0.500 0.647
Ge3 Ge 0.500 0.500 0.000
```

***

Record 4
The following is a DFT calculation (PBE) of an optimized crystal structure of Pr2Ni3AgGe4.

Values from the calculation:
crystal system = tetragonal
magnetic moment = 0.0 Bohr magnetons per cell
ΔH_f (0 K) = -0.604 eV/atom

Cell and atoms, written as CIF:
```
data_Pr2Ni3AgGe4
_cell_length_a 4.244
_cell_length_b 4.244
_cell_length_c 9.955
_cell_angle_alpha 90.00
_cell_angle_beta 90.00
_cell_angle_gamma 90.00
_symmetry_space_group_name_H-M 'P -4 m 2'
_symmetry_Int_Tables_number 115
loop_
_symmetry_equiv_pos_as_xyz
'x,y,z'
'y,-x,-z'
'-x,-y,z'
'-y,x,-z'
'-x,y,z'
'-y,-x,-z'
'x,-y,z'
'y,x,-z'
loop_
_atom_site_label
_atom_site_type_symbol
_atom_site_fract_x
_atom_site_fract_y
_atom_site_fract_z
Pr1 Pr 0.000 0.500 0.243
Ni1 Ni 0.000 0.500 0.885
Ni2 Ni 0.500 0.500 0.500
Ag1 Ag 0.000 0.000 0.500
Ge1 Ge 0.000 0.000 0.000
Ge2 Ge 0.000 0.500 0.646
Ge3 Ge 0.500 0.500 0.000
```

***

Record 5
The following is a DFT calculation (PBE) of an optimized crystal structure of ScNiAg2Ge.

Values from the calculation:
crystal system = tetragonal
magnetic moment = 0.0 Bohr magnetons per cell
ΔH_f (0 K) = 0.270 eV/atom

Cell and atoms, written as CIF:
```
data_ScNiAg2Ge
_cell_length_a 4.804
_cell_length_b 4.804
_cell_length_c 4.425
_cell_angle_alpha 90.00
_cell_angle_beta 90.00
_cell_angle_gamma 90.00
_symmetry_space_group_name_H-M 'P 4/m m m'
_symmetry_Int_Tables_number 123
_symmetry_space_group_name_Hall '-P 4 2'
loop_
_atom_site_label
_atom_site_type_symbol
_atom_site_fract_x
_atom_site_fract_y
_atom_site_fract_z
Sc1 Sc 0.000 0.000 0.000
Ni1 Ni 0.500 0.500 0.000
Ag1 Ag 0.000 0.500 0.500
Ge1 Ge 0.500 0.500 0.500
```

***

Record 6
The following is a DFT calculation (PBE) of an optimized crystal structure of NiAg2GeSe4.

Values from the calculation:
formation energy from raw total energies = -171 meV/atom
crystal system = tetragonal
magnetic moment = 2.8 Bohr magnetons per cell

Cell and atoms, written as CIF:
```
data_NiAg2GeSe4
_cell_length_a 5.922
_cell_length_b 5.922
_cell_length_c 11.215
_cell_angle_alpha 90.00
_cell_angle_beta 90.00
_cell_angle_gamma 90.00
_symmetry_space_group_name_H-M 'I -4'
_symmetry_Int_Tables_number 82
loop_
_symmetry_equiv_pos_as_xyz
'x,y,z'
'y,-x,-z'
'-x,-y,z'
'-y,x,-z'
'x+1/2,y+1/2,z+1/2'
'y+1/2,-x+1/2,-z+1/2'
'-x+1/2,-y+1/2,z+1/2'
'-y+1/2,x+1/2,-z+1/2'
loop_
_atom_site_label
_atom_site_type_symbol
_atom_site_fract_x
_atom_site_fract_y
_atom_site_fract_z
Ni1 Ni 0.000 0.000 0.000
Ag1 Ag 0.000 0.000 0.500
Ag2 Ag 0.000 0.500 0.250
Ge1 Ge 0.000 0.500 0.750
Se1 Se 0.213 0.243 0.880
```

***

Record 7
The following is a DFT calculation (PBE) of an optimized crystal structure of Sm2Ni3AgGe4.

Values from the calculation:
crystal system = tetragonal
magnetic moment = 0.0 Bohr magnetons per cell
ΔH_f (0 K) = -0.607 eV/atom

Cell and atoms, written as CIF:
```
data_Sm2Ni3AgGe4
_cell_length_a 4.194
_cell_length_b 4.194
_cell_length_c 9.922
_cell_angle_alpha 90.00
_cell_angle_beta 90.00
_cell_angle_gamma 90.00
_symmetry_space_group_name_H-M 'P -4 m 2'
_symmetry_Int_Tables_number 115
loop_
_symmetry_equiv_pos_as_xyz
'x,y,z'
'y,-x,-z'
'-x,-y,z'
'-y,x,-z'
'-x,y,z'
'-y,-x,-z'
'x,-y,z'
'y,x,-z'
loop_
_atom_site_label
_atom_site_type_symbol
_atom_site_fract_x
_atom_site_fract_y
_atom_site_fract_z
Sm1 Sm 0.000 0.500 0.242
Ni1 Ni 0.000 0.500 0.884
Ni2 Ni 0.500 0.500 0.500
Ag1 Ag 0.000 0.000 0.500
Ge1 Ge 0.000 0.000 0.000
Ge2 Ge 0.000 0.500 0.647
Ge3 Ge 0.500 0.500 0.000
```

***

Record 8
The following is a DFT calculation (PBE) of an optimized crystal structure of NiAgSnGe2.

Values from the calculation:
crystal system = tetragonal
magnetic moment = 0.0 Bohr magnetons per cell
ΔH_f (0 K) = 0.181 eV/atom

Cell and atoms, written as CIF:
```
data_NiAgSnGe2
_cell_length_a 4.519
_cell_length_b 4.519
_cell_length_c 5.100
_cell_angle_alpha 90.00
_cell_angle_beta 90.00
_cell_angle_gamma 90.00
_symmetry_space_group_name_H-M 'P 4/m m m'
_symmetry_Int_Tables_number 123
_symmetry_space_group_name_Hall '-P 4 2'
loop_
_atom_site_label
_atom_site_type_symbol
_atom_site_fract_x
_atom_site_fract_y
_atom_site_fract_z
Ni1 Ni 0.000 0.000 0.000
Ag1 Ag 0.000 0.000 0.500
Sn1 Sn 0.500 0.500 0.500
Ge1 Ge 0.000 0.500 0.000
```

***

Record 9
The following is a DFT calculation (PBE) of an optimized crystal structure of Ni2AgGeTe.

Values from the calculation:
formation energy from raw total energies = 1111 meV/atom
crystal system = tetragonal
magnetic moment = 0.6 Bohr magnetons per cell

Cell and atoms, written as CIF:
```
data_Ni2AgGeTe
_cell_length_a 4.731
_cell_length_b 4.731
_cell_length_c 5.178
_cell_angle_alpha 90.00
_cell_angle_beta 90.00
_cell_angle_gamma 90.00
_symmetry_space_group_name_H-M 'P 4/m m m'
_symmetry_Int_Tables_number 123
_symmetry_space_group_name_Hall '-P 4 2'
loop_
_atom_site_label
_atom_site_type_symbol
_atom_site_fract_x
_atom_site_fract_y
_atom_site_fract_z
Ni1 Ni 0.000 0.500 0.000
Ag1 Ag 0.000 0.000 0.000
Ge1 Ge 0.500 0.500 0.500
Te1 Te 0.000 0.000 0.500
```

***

Record 10
The following is a DFT calculation (PBE) of an optimized crystal structure of NiAgGeW2.

Values from the calculation:
crystal system = tetragonal
magnetic moment = 1.0 Bohr magnetons per cell
ΔH_f (0 K) = 1.509 eV/atom

Cell and atoms, written as CIF:
```
data_NiAgGeW2
_cell_length_a 4.501
_cell_length_b 4.501
_cell_length_c 4.704
_cell_angle_alpha 90.00
_cell_angle_beta 90.00
_cell_angle_gamma 90.00
_symmetry_space_group_name_H-M 'P 4/m m m'
_symmetry_Int_Tables_number 123
_symmetry_space_group_name_Hall '-P 4 2'
loop_
_atom_site_label
_atom_site_type_symbol
_atom_site_fract_x
_atom_site_fract_y
_atom_site_fract_z
Ni1 Ni 0.000 0.000 0.000
Ag1 Ag 0.000 0.000 0.500
Ge1 Ge 0.500 0.500 0.500
W1 W 0.000 0.500 0.000
```

***

Record 11
The following is a DFT calculation (PBE) of an optimized crystal structure of NpAgGe.

Values from the calculation:
crystal system = trigonal
magnetic moment = 24.7 Bohr magnetons per cell
ΔH_f (0 K) = 0.144 eV/atom

Cell and atoms, written as CIF:
```
data_NpAgGe
_cell_length_a 4.5485
_cell_length_b 4.5485
_cell_length_c 21.5362
_cell_angle_alpha 90.00
_cell_angle_beta 90.00
_cell_angle_gamma 120.00
_symmetry_space_group_name_H-M 'R -3 m'
_symmetry_Int_Tables_number 166
_symmetry_space_group_name_Hall '-R 3 2"'
loop_
_atom_site_label
_atom_site_type_symbol
_atom_site_fract_x
_atom_site_fract_y
_atom_site_fract_z
Np1 Np 0.0000 0.0000 0.1507
Ag1 Ag 0.0000 0.0000 0.2978
Ge1 Ge 0.0000 0.0000 0.4220
```

***

Record 12
The following is a DFT calculation (PBE) of an optimized crystal structure of NpAgGe2.

Values from the calculation:
crystal system = tetragonal
magnetic moment = 3.1 Bohr magnetons per cell
ΔH_f (0 K) = -0.011 eV/atom

Cell and atoms, written as CIF:
```
data_NpAgGe2
_cell_length_a 5.228
_cell_length_b 5.228
_cell_length_c 2.871
_cell_angle_alpha 90.00
_cell_angle_beta 90.00
_cell_angle_gamma 90.00
_symmetry_space_group_name_H-M 'P 4/m m m'
_symmetry_Int_Tables_number 123
_symmetry_space_group_name_Hall '-P 4 2'
loop_
_atom_site_label
_atom_site_type_symbol
_atom_site_fract_x
_atom_site_fract_y
_atom_site_fract_z
Np1 Np 0.000 0.000 0.000
Ag1 Ag 0.500 0.500 0.000
Ge1 Ge 0.000 0.500 0.500
```

***

> magnetic moment of number 8 (NiAgSnGe2)?

0.0 Bohr magnetons per cell

***

Please write out number 11 again, unchanged.
The following is a DFT calculation (PBE) of an optimized crystal structure of NpAgGe.

Values from the calculation:
crystal system = trigonal
magnetic moment = 24.7 Bohr magnetons per cell
ΔH_f (0 K) = 0.144 eV/atom

Cell and atoms, written as CIF:
```
data_NpAgGe
_cell_length_a 4.5485
_cell_length_b 4.5485
_cell_length_c 21.5362
_cell_angle_alpha 90.00
_cell_angle_beta 90.00
_cell_angle_gamma 120.00
_symmetry_space_group_name_H-M 'R -3 m'
_symmetry_Int_Tables_number 166
_symmetry_space_group_name_Hall '-R 3 2"'
loop_
_atom_site_label
_atom_site_type_symbol
_atom_site_fract_x
_atom_site_fract_y
_atom_site_fract_z
Np1 Np 0.0000 0.0000 0.1507
Ag1 Ag 0.0000 0.0000 0.2978
Ge1 Ge 0.0000 0.0000 0.4220
```

***

> Which formula does entry 1 have?

NiAg2GeOs